[1]
The following is a DFT calculation (PBE) of YNi2Te after structural relaxation.

Output
Total magnetization   0.000 μB per atom
Energy   -44.7 eV/cell

a b c (Å): 4.179 5.000 7.122
angles (deg): 90.00 90.00 90.00
Fractional coordinates of all 8 atoms:
Ni 0.500 0.640 0.462
Ni 0.500 0.360 0.962
Ni 0.000 0.865 0.534
Ni 0.000 0.135 0.034
Te 0.000 0.341 0.682
Te 0.000 0.659 0.182
Y 0.500 0.852 0.822
Y 0.500 0.148 0.322



[2]
The following is a DFT calculation (PBE) of Dy3Er2Lu2Te2Pd2 after structural relaxation.

Output
Total magnetization   0.000 μB per atom
Energy   -58.1 eV/cell
ΔE to the lowest computed polymorph   0.002 eV/atom

a b c (Å): 9.335 9.335 9.335
angles (deg): 155.72 67.38 118.23
Fractional coordinates of all 11 atoms:
Pd 0.302 0.067 0.235
Pd 0.832 0.067 0.765
Lu 0.692 0.374 0.317
Lu 0.057 0.374 0.683
Te 0.335 0.335 0.000
Te 0.737 0.237 0.500
Er 0.379 0.734 0.644
Er 0.090 0.734 0.356
Dy 0.452 0.582 0.870
Dy 0.999 0.999 0.000
Dy 0.712 0.582 0.130



[3]
The following is a DFT calculation (PBE) of Ba4WN4Cl2 after structural relaxation.

Output
Total magnetization   0.000 μB per atom
Energy   -145.6 eV/cell

a b c (Å): 6.191 8.507 10.792
angles (deg): 98.99 90.00 90.00
Fractional coordinates of all 22 atoms:
W 0.750 0.229 0.400
W 0.250 0.771 0.600
N 0.498 0.754 0.497
N 0.250 0.965 0.711
N 0.750 0.035 0.289
N 0.998 0.246 0.503
N 0.750 0.390 0.298
N 0.002 0.754 0.497
N 0.502 0.246 0.503
N 0.250 0.610 0.702
Cl 0.250 0.672 0.164
Cl 0.750 0.840 0.902
Cl 0.250 0.160 0.098
Cl 0.750 0.328 0.836
Ba 0.750 0.713 0.291
Ba 0.750 0.997 0.628
Ba 0.250 0.003 0.372
Ba 0.250 0.287 0.709
Ba 0.250 0.445 0.377
Ba 0.750 0.555 0.623
Ba 0.250 0.814 0.911
Ba 0.750 0.186 0.089



[4]
The following is a DFT calculation (PBE) of Rb2TcTeSe2 after structural relaxation.

Output
Total magnetization   0.313 μB per atom
Energy   -52.5 eV/cell

a b c (Å): 7.305 7.897 9.285
angles (deg): 73.24 67.69 65.26
Site moments in Bohr magnetons follow the coordinates.
Fractional coordinates of all 12 atoms:
Te 0.384 0.811 0.902  0.07
Te 0.616 0.189 0.098  0.07
Tc 0.386 0.058 0.651  1.21
Tc 0.614 0.942 0.349  1.21
Se 0.254 0.973 0.491  0.04
Se 0.746 0.027 0.509  0.04
Se 0.818 0.637 0.281  0.08
Se 0.182 0.363 0.719  0.08
Rb 0.909 0.795 0.869  0.01
Rb 0.317 0.580 0.325  0.01
Rb 0.091 0.205 0.131  0.01
Rb 0.683 0.420 0.675  0.01



[5]
The following is a DFT calculation (PBE) of MgBeAlZn after structural relaxation.

Output
Energy   -9.5 eV/cell
ΔE to the lowest computed polymorph   0.000 eV/atom

a b c (Å): 4.392 4.392 4.392
angles (deg): 60.00 60.00 60.00
Fractional coordinates of all 4 atoms:
Be 0.250 0.250 0.250
Al 0.000 0.000 0.000
Mg 0.500 0.500 0.500
Zn 0.750 0.750 0.750



[6]
The following is a DFT calculation (PBE) of CsBeAsPt after structural relaxation.

Output
Total magnetization   0.000 μB per atom
Energy   -11.0 eV/cell
ΔE to the lowest computed polymorph   0.200 eV/atom

a b c (Å): 5.039 5.039 5.039
angles (deg): 60.00 60.00 60.00
Fractional coordinates of all 4 atoms:
As 0.000 0.000 0.000
Pt 0.500 0.500 0.500
Cs 0.250 0.250 0.250
Be 0.750 0.750 0.750



[7]
The following is a DFT calculation (PBE) of LaGdY after structural relaxation.

Output
Energy of formation from the pure elements   0.7190 eV/atom
Total magnetization   0.002 μB per atom
Energy   -13.9 eV/cell
ΔE to the lowest computed polymorph   0.000 eV/atom

a b c (Å): 5.551 5.551 5.551
angles (deg): 60.00 60.00 60.00
Fractional coordinates of all 3 atoms:
Gd 0.250 0.250 0.250
Y 0.000 0.000 0.000
La 0.750 0.750 0.750



[8]
The following is a DFT calculation (PBE) of MgAlCuTc after structural relaxation.

Output
Total magnetization   0.001 μB per atom
Energy   -19.5 eV/cell
ΔE to the lowest computed polymorph   0.000 eV/atom

a b c (Å): 4.326 4.326 4.326
angles (deg): 60.00 60.00 60.00
Fractional coordinates of all 4 atoms:
Tc 0.250 0.250 0.250
Al 0.000 0.000 0.000
Mg 0.500 0.500 0.500
Cu 0.750 0.750 0.750